Entry from Alexandria via LeMat-Bulk: Hf4TaC5 after structural relaxation (PBE).

Summary:
Crystal system: tetragonal
V (Å³ per atom): 12.258
Total DFT energy (no corrections) (hartree per atom): -0.3925
E_form (eV per atom): -0.901
Magnetization (μB/cell): 0.00
Space-group type: I4/m, No. 87

```
Hf4TaC5
1.0
4.6173 0.0000 0.0000
2.3086 5.1524 0.0000
2.3086 0.0000 5.1524
C Hf Ta
5 4 1
Direct
0.7061 0.1964 0.3935
0.9025 0.3935 0.8036
0.5010 0.0000 0.0000
0.0996 0.6065 0.1964
0.2960 0.8036 0.6065
0.6002 0.6010 0.2006
0.8008 0.7994 0.6010
0.4018 0.3990 0.7994
0.2012 0.2006 0.3990
0.0011 0.0000 0.0000
```

---

Entry from Alexandria via LeMat-Bulk: Hf3TaC4 after structural relaxation (PBE).

Summary:
Crystal system: orthorhombic
V (Å³ per atom): 12.179
Total DFT energy (no corrections) (hartree per atom): -0.3939
E_form (eV per atom): -0.894
Magnetization (μB/cell): 0.00
Space-group type: Cmmm, No. 65

```
Hf3TaC4
1.0
-0.4818 1.0035 -3.0616
-3.6002 -4.2501 -0.8266
-2.8125 4.4873 1.9134
C Hf Ta
4 3 1
Direct
0.5000 0.2463 0.7537
0.0000 0.2435 0.2435
0.0000 0.7565 0.7565
0.5000 0.7537 0.2463
0.0000 0.0000 0.5000
0.5000 0.5000 0.5000
0.0000 0.5000 0.0000
0.5000 0.0000 0.0000
```